Entry from Alexandria: a geometry-optimized SrSiP2 structure (PBE).

Calculated total energy = -17.42 eV/cell
Formation energy (no corrections) = 0.50 eV per formula unit
Symmetry = I-4m2 (119)
Total magnetic moment = 0.00 Bohr magnetons per cell

Lattice parameters (Å, degrees): 5.739 5.739 5.739 138.67 138.67 59.89
Fractional coordinates of all 4 atoms:
Sr 0.000 0.000 0.000
Si 0.750 0.250 0.500
P 0.250 0.750 0.500
P 0.500 0.500 0.000